Entry 1:
{"formula": "Rb2ErThTe4", "functional": "GGA-PBE", "state": "optimized geometry", "magmom_total_mub_per_fu": 0.01, "e_form_raw_ev_per_fu": -10.03, "spacegroup": "P2/m", "cell": [[4.490, 0.000, 0.000], [0.000, 7.825, 0.155], [0.000, -2.744, 8.609]], "species": ["Er", "Te", "Rb", "Te", "Rb", "Te", "Th", "Te"], "frac_coords": [[0.000, 0.000, 0.000], [0.000, 0.257, 0.793], [0.000, 0.500, 0.500], [0.500, 0.772, 0.799], [0.500, 0.000, 0.500], [0.000, 0.743, 0.207], [0.500, 0.500, 0.000], [0.500, 0.228, 0.201]]}

Entry 2:
{"formula": "LiEuSbIr", "functional": "GGA-PBE", "state": "optimized geometry", "magmom_total_mub_per_fu": 6.71, "e_form_raw_ev_per_fu": -1.84, "spacegroup": "F-43m", "cell": [[4.808, 0.000, 0.000], [2.404, 4.164, 0.000], [2.404, 1.388, 3.926]], "species": ["Li", "Ir", "Eu", "Sb"], "frac_coords": [[0.000, 0.000, 0.000], [0.500, 0.500, 0.500], [0.750, 0.750, 0.750], [0.250, 0.250, 0.250]]}

Entry 3:
{"formula": "AlGaCu2Te", "functional": "GGA-PBE", "state": "optimized geometry", "magmom_total_mub_per_fu": 0.00, "e_form_raw_ev_per_fu": 2.89, "spacegroup": "P4/mmm", "cell": [[-1.978, 1.904, -3.649], [-4.149, -3.811, 0.261], [-2.378, 2.776, 2.737]], "species": ["Cu", "Cu", "Te", "Al", "Ga"], "frac_coords": [[0.500, 0.000, 0.000], [0.000, 0.000, 0.500], [0.000, 0.500, 0.000], [0.500, 0.500, 0.500], [0.000, 0.000, 0.000]]}

Entry 4:
{"formula": "Tl3BiF", "functional": "GGA-PBE", "state": "optimized geometry", "magmom_total_mub_per_fu": 0.00, "e_form_raw_ev_per_fu": -0.24, "e_above_lowest_polymorph_mev_per_atom": 553.1, "spacegroup": "Pm-3m", "cell": [[6.364, 0.000, 0.000], [0.000, 6.364, 0.000], [0.000, 0.000, 6.364]], "species": ["Tl", "F", "Tl", "Tl", "Bi"], "frac_coords": [[0.500, 0.000, 0.000], [0.500, 0.500, 0.500], [0.000, 0.000, 0.500], [0.000, 0.500, 0.000], [0.000, 0.000, 0.000]]}

Entry 5:
{"formula": "MnBeRh", "functional": "GGA-PBE", "state": "optimized geometry", "magmom_total_mub_per_fu": 0.00, "e_above_lowest_polymorph_mev_per_atom": 155.5, "spacegroup": "Cm", "e_form_ev_per_atom": -0.187, "cell": [[6.152, 0.001, -0.022], [-0.584, 2.616, 0.000], [0.533, 0.119, 4.161]], "species": ["Mn", "Rh", "Mn", "Be", "Be", "Rh"], "frac_coords": [[0.714, 0.115, 0.267], [0.663, 0.589, 0.771], [0.006, 0.261, 0.973], [0.018, 0.767, 0.466], [0.333, 0.924, 0.820], [0.333, 0.424, 0.329]]}

Entry 6:
{"formula": "BaLi2AgGe", "functional": "GGA-PBE", "state": "optimized geometry", "magmom_total_mub_per_fu": 0.00, "e_above_lowest_polymorph_mev_per_atom": 0.0, "spacegroup": "P4/mmm", "e_form_ev_per_atom": -0.204, "cell": [[-2.828, -3.871, -1.462], [3.250, -0.982, -3.686], [2.632, -3.112, 3.149]], "species": ["Li", "Ba", "Ge", "Ag", "Li"], "frac_coords": [[0.000, 0.500, 0.000], [0.500, 0.500, 0.500], [0.000, 0.000, 0.000], [0.000, 0.000, 0.500], [0.500, 0.000, 0.000]]}

Entry 7:
{"formula": "InGaI3", "functional": "GGA-PBE", "state": "optimized geometry", "magmom_total_mub_per_fu": 0.00, "e_form_raw_ev_per_fu": -1.59, "e_above_lowest_polymorph_mev_per_atom": 169.8, "spacegroup": "Pm-3m", "cell": [[5.802, 0.000, 0.000], [0.000, 5.802, 0.000], [0.000, 0.000, 5.802]], "species": ["In", "I", "Ga", "I", "I"], "frac_coords": [[0.500, 0.500, 0.500], [0.000, 0.000, 0.500], [0.000, 0.000, 0.000], [0.000, 0.500, 0.000], [0.500, 0.000, 0.000]]}

Entry 8:
{"formula": "TaBe2NiRh", "functional": "GGA-PBE", "state": "optimized geometry", "magmom_total_mub_per_fu": 0.00, "spacegroup": "P4/mmm", "e_form_ev_per_atom": 0.709, "cell": [[-2.275, 2.454, -2.325], [-3.192, -3.572, -0.647], [-2.046, 1.231, 3.301]], "species": ["Ta", "Be", "Ni", "Be", "Rh"], "frac_coords": [[0.000, 0.500, 0.000], [0.000, 0.000, 0.500], [0.500, 0.500, 0.500], [0.500, 0.000, 0.000], [0.000, 0.000, 0.000]]}

Entry 9:
{"formula": "Sb2PbSI", "functional": "GGA-PBE", "state": "optimized geometry", "magmom_total_mub_per_fu": 0.00, "e_form_raw_ev_per_fu": 1.91, "e_above_lowest_polymorph_mev_per_atom": 0.0, "spacegroup": "P4/mmm", "cell": [[-0.790, -0.053, 5.231], [-4.159, -3.203, -0.661], [3.380, -4.484, 0.465]], "species": ["I", "Sb", "S", "Sb", "Pb"], "frac_coords": [[0.000, 0.000, 0.500], [0.000, 0.500, 0.000], [0.000, 0.000, 0.000], [0.500, 0.000, 0.000], [0.500, 0.500, 0.500]]}

Entry 10:
{"formula": "TbPr6Sc2", "functional": "GGA-PBE", "state": "optimized geometry", "magmom_total_mub_per_fu": 0.00, "spacegroup": "C2/m", "e_form_ev_per_atom": 0.196, "cell": [[3.280, 0.000, 1.084], [0.376, 9.176, 4.366], [-1.501, 1.137, 10.042]], "species": ["Sc", "Pr", "Pr", "Pr", "Sc", "Pr", "Pr", "Tb", "Pr"], "frac_coords": [[0.834, 0.165, 0.166], [0.181, 0.468, 0.169], [0.003, 0.166, 0.828], [0.336, 0.846, 0.482], [0.166, 0.835, 0.834], [0.819, 0.532, 0.831], [0.997, 0.834, 0.172], [0.000, 0.500, 0.500], [0.664, 0.154, 0.518]]}

Entry 11:
{"formula": "Ac4AsIrAu2", "functional": "GGA-PBE", "state": "optimized geometry", "magmom_total_mub_per_fu": 0.00, "spacegroup": "P2/m", "e_form_ev_per_atom": -0.895, "cell": [[4.406, 0.000, 0.000], [0.000, 8.001, 0.263], [0.000, -2.669, 7.286]], "species": ["Ac", "Au", "As", "Ir", "Au", "Ac", "Ac", "Ac"], "frac_coords": [[0.500, 0.773, 0.775], [0.500, 0.000, 0.500], [0.500, 0.500, 0.000], [0.000, 0.000, 0.000], [0.000, 0.500, 0.500], [0.500, 0.227, 0.225], [0.000, 0.241, 0.767], [0.000, 0.759, 0.233]]}

Entry 12:
{"formula": "LaAlCl2", "functional": "GGA-PBE", "state": "optimized geometry", "magmom_total_mub_per_fu": 1.82, "e_form_raw_ev_per_fu": -2.64, "e_above_lowest_polymorph_mev_per_atom": 503.9, "spacegroup": "F-43m", "cell": [[5.256, 0.000, 0.000], [2.628, 4.552, 0.000], [2.628, 1.517, 4.292]], "species": ["Cl", "Al", "La", "Cl"], "frac_coords": [[0.750, 0.750, 0.750], [0.500, 0.500, 0.500], [0.250, 0.250, 0.250], [0.000, 0.000, 0.000]]}